Crystalline UFe2HO6 at its relaxed geometry. Source: the Alexandria database, functional PBE with a Hubbard U.

abc: 5.819 5.819 5.436
angles: 108.60 108.60 58.56
Sites, in units of the cell vectors:
U 0.000 0.000 0.000
Fe 0.238 0.238 0.589
Fe 0.762 0.762 0.411
H 0.500 0.500 0.500
O 0.104 0.634 0.700
O 0.142 0.142 0.830
O 0.366 0.896 0.300
O 0.634 0.104 0.700
O 0.858 0.858 0.170
O 0.896 0.366 0.300

Computed properties:
Magnetization, Bohr magnetons per cell: 9.00
Uncorrected energy, eV/atom: -7.26